## CrSbWO6 (PBE+U)

Data for an optimized crystal structure of CrSbWO6.

Geometry as POSCAR:
```
CrSbWO6
1.0
5.214 0.000 0.000
-2.607 4.516 0.000
0.000 0.000 9.721
Cr Sb O W
2 2 12 2
Cartesian
0.000 3.010 2.430 Cr
2.607 1.505 7.291 Cr
0.000 0.000 4.861 Sb
0.000 0.000 0.000 Sb
1.699 2.860 1.348 O
4.234 1.614 1.348 O
0.980 1.614 3.513 O
1.627 2.901 6.208 O
0.908 1.656 8.374 O
-0.719 4.474 6.208 O
3.326 0.041 3.513 O
0.719 4.474 8.374 O
1.888 0.041 1.348 O
-0.908 1.656 6.208 O
3.515 2.860 3.513 O
-1.627 2.901 8.374 O
2.607 1.505 2.430 W
0.000 3.010 7.291 W
```

The value obtained for the total energy is -7.15 eV per atom.